A relaxed Re5Tc6 crystal. Source: Alexandria, functional PBE.

a = 4.6261 Å, b = 4.8395 Å, c = 8.7822 Å
α = 86.99°, β = 83.70°, γ = 61.45°
Last column: nearest neighbours and their distance in Å.
Positions (direct):
Tc 0.9456 0.3205 0.7558  4 Re 2.59-2.75, 6 Tc 2.68-2.89
Tc 0.2661 0.6795 0.7558  4 Re 2.59-2.75, 6 Tc 2.68-2.89
Tc 0.6051 0.0000 0.7520  5 Re 2.61-2.74, 6 Tc 2.68-2.89
Tc 0.3949 0.0000 0.2480  5 Re 2.61-2.74, 6 Tc 2.68-2.89
Tc 0.0544 0.6795 0.2442  4 Re 2.59-2.75, 6 Tc 2.68-2.89
Tc 0.7339 0.3205 0.2442  4 Re 2.59-2.75, 6 Tc 2.68-2.89
Re 0.3302 0.3396 0.0000  4 Tc 2.59-2.61, 3 Re 2.69-2.89
Re 0.6698 0.6604 0.0000  4 Tc 2.59-2.61, 3 Re 2.69-2.89
Re 0.6724 0.6552 0.5000  6 Re 2.66-2.93, 6 Tc 2.74-2.75
Re 0.0000 0.0000 0.5000  6 Tc 2.71-2.72, 6 Re 2.74-2.78
Re 0.3276 0.3448 0.5000  6 Re 2.66-2.93, 6 Tc 2.74-2.75

Summary:
Energy of formation = 0.25 eV per atom
E = -121.692 eV per cell
Space-group type = C2/m (12)
Energy relative to the lowest polymorph listed for this composition = 0 meV/atom
Fermi-level density of states = 0.839 states/eV/atom



A relaxed Re3Tc crystal. Source: Alexandria, functional PBE.

a = 5.5441 Å, b = 5.5441 Å, c = 4.4649 Å
α = 90.00°, β = 90.00°, γ = 120.00°
Last column: nearest neighbours and their distance in Å.
Positions (direct):
Tc 0.3333 0.6667 0.2500  12 Re 2.75-2.77
Tc 0.6667 0.3333 0.7500  12 Re 2.75-2.77
Re 0.8336 0.1664 0.2500  8 Re 2.75-2.78, 4 Tc 2.75-2.77
Re 0.3329 0.1664 0.2500  8 Re 2.75-2.78, 4 Tc 2.75-2.77
Re 0.8336 0.6671 0.2500  8 Re 2.75-2.78, 4 Tc 2.75-2.77
Re 0.6671 0.8336 0.7500  8 Re 2.75-2.78, 4 Tc 2.75-2.77
Re 0.1664 0.8336 0.7500  8 Re 2.75-2.78, 4 Tc 2.75-2.77
Re 0.1664 0.3329 0.7500  8 Re 2.75-2.78, 4 Tc 2.75-2.77

Summary:
Energy of formation = 0.00 eV per atom
E = -95.428 eV per cell
Space-group type = P6_3/mmc (194)
Energy relative to the lowest polymorph listed for this composition = 0 meV/atom
Fermi-level density of states = 0.721 states/eV/atom



A relaxed Re5Tc2 crystal. Source: Alexandria, functional PBE.

a = 4.7934 Å, b = 6.5571 Å, c = 7.1244 Å
α = 93.86°, β = 90.00°, γ = 111.44°
Last column: nearest neighbours and their distance in Å.
Positions (direct):
Re 0.4545 0.5712 0.1784  9 Re 2.74-2.78, 3 Tc 2.75-2.78
Re 0.9748 0.2842 0.9629  4 Tc 2.73-2.77, 8 Re 2.73-2.78
Re 0.1656 0.0000 0.7500  6 Re 2.73-2.78, 6 Tc 2.75-2.77
Re 0.0252 0.7158 0.0371  4 Tc 2.73-2.77, 8 Re 2.73-2.78
Re 0.5455 0.4288 0.8216  9 Re 2.74-2.78, 3 Tc 2.75-2.78
Re 0.6906 0.7158 0.5371  4 Tc 2.73-2.77, 8 Re 2.73-2.78
Re 0.8344 0.0000 0.2500  6 Re 2.73-2.78, 6 Tc 2.75-2.77
Re 0.1167 0.5712 0.6784  9 Re 2.74-2.78, 3 Tc 2.75-2.78
Re 0.3094 0.2842 0.4629  4 Tc 2.73-2.77, 8 Re 2.73-2.78
Re 0.8833 0.4288 0.3216  9 Re 2.74-2.78, 3 Tc 2.75-2.78
Tc 0.2619 0.8579 0.3933  10 Re 2.73-2.78, 2 Tc 2.74-2.77
Tc 0.7381 0.1421 0.6067  10 Re 2.73-2.78, 2 Tc 2.74-2.77
Tc 0.5960 0.8579 0.8933  10 Re 2.73-2.78, 2 Tc 2.74-2.77
Tc 0.4040 0.1421 0.1067  10 Re 2.73-2.78, 2 Tc 2.74-2.77

Summary:
Energy of formation = 0.00 eV per atom
E = -165.904 eV per cell
Space-group type = C2/c (15)
Fermi-level density of states = 1.041 states/eV/atom



A relaxed Re5Tc6 crystal. Source: Alexandria, functional PBE.

a = 7.2393 Å, b = 6.2933 Å, c = 4.7498 Å
α = 80.07°, β = 72.55°, γ = 54.89°
Last column: nearest neighbours and their distance in Å.
Positions (direct):
Re 0.2387 0.5226 0.5000  6 Tc 2.58-2.77, 3 Re 2.69-2.74
Re 0.6279 0.7442 0.0000  6 Tc 2.63-2.79, 5 Re 2.63-2.74
Re 0.5000 0.0000 0.5000  6 Re 2.69-2.72, 6 Tc 2.72-2.75
Re 0.7613 0.4774 0.5000  6 Tc 2.58-2.77, 3 Re 2.69-2.74
Re 0.3721 0.2558 0.0000  6 Tc 2.63-2.79, 5 Re 2.63-2.74
Tc 0.6786 0.2694 0.1717  5 Re 2.58-2.79, 4 Tc 2.70-2.81
Tc 0.0519 0.2694 0.8283  5 Re 2.58-2.79, 4 Tc 2.70-2.81
Tc 0.3214 0.7306 0.8283  5 Re 2.58-2.79, 4 Tc 2.70-2.81
Tc 0.1728 0.0000 0.3214  5 Tc 2.57-2.81, 5 Re 2.74-2.77
Tc 0.9481 0.7306 0.1717  5 Re 2.58-2.79, 4 Tc 2.70-2.81
Tc 0.8272 0.0000 0.6786  5 Tc 2.57-2.81, 5 Re 2.74-2.77

Summary:
Energy of formation = 0.29 eV per atom
E = -121.205 eV per cell
Space-group type = C2/m (12)
Energy relative to the lowest polymorph listed for this composition = 44 meV/atom
Fermi-level density of states = 0.946 states/eV/atom



A relaxed Re3Tc crystal. Source: Alexandria, functional PBE.

a = 2.7636 Å, b = 3.8898 Å, c = 5.5498 Å
α = 90.00°, β = 90.00°, γ = 90.00°
Last column: nearest neighbours and their distance in Å.
Positions (direct):
Tc 0.5000 0.5000 0.2500  10 Re 2.76-2.77, 2 Tc 2.76
Re 0.0000 0.0000 0.4984  4 Tc 2.76, 8 Re 2.76-2.79
Re 0.0000 0.0000 0.0016  4 Tc 2.76, 8 Re 2.76-2.79
Re 0.5000 0.5000 0.7500  10 Re 2.76, 2 Tc 2.77

Summary:
Energy of formation = 0.07 eV per atom
E = -47.435 eV per cell
Space-group type = Pmmm (47)
Energy relative to the lowest polymorph listed for this composition = 70 meV/atom
Fermi-level density of states = 0.945 states/eV/atom



A relaxed Re2Tc crystal. Source: Alexandria, functional PBE.

a = 5.5407 Å, b = 3.8953 Å, c = 8.2723 Å
α = 90.00°, β = 90.00°, γ = 90.00°
Last column: nearest neighbours and their distance in Å.
Positions (direct):
Re 0.8728 0.7500 0.4163  5 Tc 2.75-2.80, 7 Re 2.75-2.77
Re 0.3752 0.7500 0.7497  7 Re 2.75-2.77, 5 Tc 2.75-2.77
Re 0.6272 0.2500 0.9163  5 Tc 2.75-2.80, 7 Re 2.75-2.77
Re 0.6248 0.2500 0.2503  7 Re 2.75-2.77, 5 Tc 2.75-2.77
Re 0.1272 0.2500 0.5837  5 Tc 2.75-2.80, 7 Re 2.75-2.77
Re 0.3728 0.7500 0.0837  5 Tc 2.75-2.80, 7 Re 2.75-2.77
Re 0.1248 0.2500 0.2497  7 Re 2.75-2.77, 5 Tc 2.75-2.77
Re 0.8752 0.7500 0.7503  7 Re 2.75-2.77, 5 Tc 2.75-2.77
Tc 0.3774 0.7500 0.4169  2 Tc 2.74, 10 Re 2.75-2.80
Tc 0.8774 0.7500 0.0831  2 Tc 2.74, 10 Re 2.75-2.80
Tc 0.6226 0.2500 0.5831  2 Tc 2.74, 10 Re 2.75-2.80
Tc 0.1226 0.2500 0.9169  2 Tc 2.74, 10 Re 2.75-2.80

Summary:
Energy of formation = 0.07 eV per atom
E = -140.258 eV per cell
Space-group type = Pnma (62)
Energy relative to the lowest polymorph listed for this composition = 70 meV/atom
Fermi-level density of states = 0.876 states/eV/atom



A relaxed Re4Tc5 crystal. Source: Alexandria, functional PBE.

a = 2.8656 Å, b = 6.9732 Å, c = 6.9732 Å
α = 89.00°, β = 78.14°, γ = 78.14°
Last column: nearest neighbours and their distance in Å.
Positions (direct):
Tc 0.2930 0.3737 0.0403  7 Tc 2.73-2.87, 4 Re 2.73
Tc 0.0000 0.6667 0.3333  8 Re 2.74, 4 Tc 2.79-2.87
Tc 0.0000 0.2928 0.7072  5 Tc 2.47-2.73, 4 Re 2.69
Tc 0.0000 0.0405 0.9595  5 Tc 2.47-2.73, 4 Re 2.69
Tc 0.7070 0.9597 0.6263  7 Tc 2.73-2.87, 4 Re 2.73
Re 0.3527 0.6228 0.6718  5 Re 2.68-2.87, 6 Tc 2.69-2.74
Re 0.3527 0.0051 0.2894  5 Re 2.68-2.87, 6 Tc 2.69-2.74
Re 0.6473 0.7106 0.9949  5 Re 2.68-2.87, 6 Tc 2.69-2.74
Re 0.6473 0.3282 0.3772  5 Re 2.68-2.87, 6 Tc 2.69-2.74

Summary:
Energy of formation = 0.08 eV per atom
E = -100.934 eV per cell
Space-group type = Immm (71)
Energy relative to the lowest polymorph listed for this composition = 10 meV/atom
Fermi-level density of states = 0.940 states/eV/atom



A relaxed ReTc3 crystal. Source: Alexandria, functional PBE.

a = 5.5359 Å, b = 4.7781 Å, c = 13.3285 Å
α = 90.00°, β = 90.00°, γ = 90.00°
Last column: nearest neighbours and their distance in Å.
Positions (direct):
Tc 0.7500 0.6662 0.9175  8 Tc 2.73-2.76, 4 Re 2.73-2.77
Tc 0.4993 0.8331 0.4168  8 Tc 2.73-2.78, 4 Re 2.73-2.77
Tc 0.9993 0.1669 0.5832  8 Tc 2.73-2.78, 4 Re 2.73-2.77
Tc 0.4993 0.8331 0.0832  8 Tc 2.73-2.78, 4 Re 2.73-2.77
Tc 0.0007 0.8331 0.4168  8 Tc 2.73-2.78, 4 Re 2.73-2.77
Tc 0.0007 0.8331 0.0832  8 Tc 2.73-2.78, 4 Re 2.73-2.77
Tc 0.5007 0.1669 0.5832  8 Tc 2.73-2.78, 4 Re 2.73-2.77
Tc 0.5007 0.1669 0.9168  8 Tc 2.73-2.78, 4 Re 2.73-2.77
Tc 0.7500 0.9999 0.2500  4 Re 2.73-2.77, 8 Tc 2.74-2.77
Tc 0.4993 0.4982 0.2500  4 Re 2.73-2.76, 8 Tc 2.74-2.78
Tc 0.0007 0.4982 0.2500  4 Re 2.73-2.76, 8 Tc 2.74-2.78
Tc 0.7500 0.6662 0.5825  8 Tc 2.73-2.76, 4 Re 2.73-2.77
Tc 0.2500 0.0001 0.7500  4 Re 2.73-2.77, 8 Tc 2.74-2.77
Tc 0.2500 0.3337 0.4175  8 Tc 2.73-2.76, 4 Re 2.73-2.77
Tc 0.9993 0.1669 0.9168  8 Tc 2.73-2.78, 4 Re 2.73-2.77
Tc 0.5007 0.5018 0.7500  4 Re 2.73-2.76, 8 Tc 2.74-2.78
Tc 0.2500 0.3338 0.0825  8 Tc 2.73-2.76, 4 Re 2.73-2.77
Tc 0.9993 0.5018 0.7500  4 Re 2.73-2.76, 8 Tc 2.74-2.78
Re 0.7500 0.3338 0.0841  12 Tc 2.73-2.77
Re 0.2500 0.9988 0.2500  12 Tc 2.73-2.77
Re 0.7500 0.3338 0.4159  12 Tc 2.73-2.77
Re 0.7500 0.0012 0.7500  12 Tc 2.73-2.77
Re 0.2500 0.6662 0.5841  12 Tc 2.73-2.77
Re 0.2500 0.6662 0.9159  12 Tc 2.73-2.77

Summary:
Energy of formation = 0.03 eV per atom
E = -260.469 eV per cell
Space-group type = Pmmn (59)
Energy relative to the lowest polymorph listed for this composition = 38 meV/atom
Fermi-level density of states = 0.950 states/eV/atom